[1]
First-principles (meta-GGA SCAN) data for a PBEsol-optimized structure of SnIr2SeS, as listed in the Alexandria database.

Computed properties:
M_tot (μB per formula unit): 0.66
Formation energy without anion corrections (eV per atom): 1.12

Cell: 4.5312 4.5312 5.0689 Å, 90.00 90.00 90.00°
With the nearest neighbours (Å) after each atom.
Element x y z (fractional)
Ir  0.5000  0.0000  0.0000  2 Se 2.27
Ir  0.0000  0.5000  0.0000  2 Se 2.27
Sn  0.5000  0.5000  0.5000  4 S 3.20, 8 Ir 3.40
Se  0.0000  0.0000  0.0000  4 Ir 2.27, 2 S 2.53
S  0.0000  0.0000  0.5000  2 Se 2.53

---

[2]
First-principles (meta-GGA SCAN) data for a PBEsol-optimized structure of Rh2W, as listed in the Alexandria database.

Computed properties:
M_tot (μB per formula unit): 0.00
DFT formation energy (eV/atom): -0.197

Cell: 3.8305 3.8502 6.0509 Å, 90.00 108.45 90.00°
With the nearest neighbours (Å) after each atom.
Element x y z (fractional)
Rh  0.5796  0.7500  0.1592  6 Rh 2.65-2.75, 6 W 2.72-2.73
Rh  0.7488  0.2500  0.4977  4 W 2.65-2.67, 8 Rh 2.72-2.75
Rh  0.2512  0.7500  0.5023  4 W 2.65-2.67, 8 Rh 2.72-2.75
Rh  0.4204  0.2500  0.8408  6 Rh 2.65-2.75, 6 W 2.72-2.73
W  0.0894  0.2500  0.1788  10 Rh 2.65-2.73, 2 W 2.81
W  0.9106  0.7500  0.8212  10 Rh 2.65-2.73, 2 W 2.81

---

[3]
First-principles (meta-GGA SCAN) data for a PBEsol-optimized structure of Cs3CdIr, as listed in the Alexandria database.

Computed properties:
M_tot (μB per formula unit): 0.00
DFT formation energy (eV/atom): 0.672

Cell: 6.1101 6.1101 6.1101 Å, 90.00 90.00 90.00°
With the nearest neighbours (Å) after each atom.
Element x y z (fractional)
Cs  0.0000  0.0000  0.5000  2 Ir 3.06
Cs  0.5000  0.0000  0.0000  2 Ir 3.06
Cs  0.0000  0.5000  0.0000  2 Ir 3.06
Cd  0.5000  0.5000  0.5000  12 Cs 4.32
Ir  0.0000  0.0000  0.0000  6 Cs 3.06

---

[4]
First-principles (meta-GGA SCAN) data for a PBEsol-optimized structure of NaLi2Nb, as listed in the Alexandria database.

Computed properties:
M_tot (μB per formula unit): 0.01
DFT formation energy (eV/atom): 0.960

Cell: 4.7286 4.7286 4.7286 Å, 60.00 60.00 60.00°
With the nearest neighbours (Å) after each atom.
Element x y z (fractional)
Nb  0.5000  0.5000  0.5000  8 Li 2.90
Li  0.2500  0.2500  0.2500  4 Na 2.90, 4 Nb 2.90
Li  0.7500  0.7500  0.7500  4 Nb 2.90, 4 Na 2.90
Na  0.0000  0.0000  0.0000  8 Li 2.90